Material: Tl2In5Sn5
Method: DFT, PBE-GGA
State: optimized geometry

Cell and atoms, written as CIF:
```
data_Tl2In5Sn5
_symmetry_space_group_name_H-M 'C 1 2/m 1'
_symmetry_Int_Tables_number 12
_cell_length_a 14.302
_cell_length_b 4.928
_cell_length_c 10.793
_cell_angle_alpha 90.00
_cell_angle_beta 116.19
_cell_angle_gamma 90.00
loop_
_symmetry_equiv_pos_as_xyz
'x,y,z'
'-x,-y,-z'
'-x,y,-z'
'x,-y,z'
'x+1/2,y+1/2,z'
'-x+1/2,-y+1/2,-z'
'-x+1/2,y+1/2,-z'
'x+1/2,-y+1/2,z'
loop_
_atom_site_label
_atom_site_type_symbol
_atom_site_fract_x
_atom_site_fract_y
_atom_site_fract_z
Tl1 Tl 0.085 0.000 0.250
In1 In 0.000 0.000 0.500
In2 In 0.166 0.000 0.995
In3 In 0.247 0.000 0.744
Sn1 Sn 0.000 0.500 0.000
Sn2 Sn 0.087 0.500 0.751
Sn3 Sn 0.165 0.500 0.503
```

## Properties
* magnetization: 0.000 Bohr magnetons per cell
* total energy: -3.1689 eV/atom